No. 1
This record from Alexandria via LeMat-Bulk describes a relaxed structure of Tb2Cu4Ni5. The functional is PBE.

Values from the calculation:
E: -56.8 eV for the cell shown
Theoretical density: 8.7 Mg/m³
Space group: Fmmm
DFT formation energy: -0.20 eV/atom

Unit cell a=8.799 b=8.112 c=4.931 alpha=80.87 beta=65.53 gamma=33.60
Fractional positions:
Tb 0.131 0.131 0.869
Tb 0.869 0.869 0.131
Cu 0.212 0.532 0.468
Cu 0.468 0.788 0.212
Cu 0.532 0.212 0.788
Cu 0.788 0.468 0.532
Ni 0.000 0.000 0.500
Ni 0.250 0.250 0.250
Ni 0.500 0.500 0.000
Ni 0.500 0.500 0.500
Ni 0.750 0.750 0.750



No. 2
This record from Alexandria via LeMat-Bulk describes a relaxed structure of PrZn2Au5. The functional is PBE.

Values from the calculation:
E: -26.6 eV for the cell shown
Theoretical density: 12.9 Mg/m³
Space group: Immm
DFT formation energy: -0.36 eV/atom

Unit cell a=6.903 b=6.903 c=6.903 alpha=146.10 beta=116.25 gamma=74.20
Fractional positions:
Pr 0.000 0.000 0.000
Zn 0.258 0.758 0.500
Zn 0.742 0.242 0.500
Au 0.159 0.366 0.793
Au 0.426 0.634 0.793
Au 0.500 0.000 0.500
Au 0.574 0.366 0.207
Au 0.841 0.634 0.207



No. 3
This record from Alexandria via LeMat-Bulk describes a relaxed structure of GdHo2Pb. The functional is PBE.

Values from the calculation:
E: -26.7 eV for the cell shown
Theoretical density: 8.9 Mg/m³
E above lowest polymorph: 33.1 kJ/mol of atoms
Space group: R-3m
DFT formation energy: 0.05 eV/atom

Unit cell a=12.166 b=12.166 c=12.166 alpha=16.65 beta=16.65 gamma=16.65
Fractional positions:
Gd 0.000 0.000 0.000
Ho 0.412 0.412 0.412
Ho 0.588 0.588 0.588
Pb 0.500 0.500 0.500



No. 4
This record from Alexandria via LeMat-Bulk describes a relaxed structure of Cs2CdI. The functional is PBE.

Values from the calculation:
E: -14.6 eV for the cell shown
Theoretical density: 3.5 Mg/m³
E above lowest polymorph: 0.0 kJ/mol of atoms
Space group: Cmcm
Formation energy (no corrections): -75.2 kJ per mole of atoms

Unit cell a=16.002 b=16.002 c=5.431 alpha=90.00 beta=90.00 gamma=159.86
Fractional positions:
Cs 0.067 0.933 0.750
Cs 0.315 0.685 0.750
Cs 0.685 0.315 0.250
Cs 0.933 0.067 0.250
Cd 0.479 0.521 0.750
Cd 0.521 0.479 0.250
I 0.191 0.809 0.750
I 0.809 0.191 0.250



No. 5
This record from Alexandria via LeMat-Bulk describes a relaxed structure of Y5HoErSc2. The functional is PBE.

Values from the calculation:
E: -105.3 eV for the cell shown
Theoretical density: 5.1 Mg/m³
Space group: Cmc2_1
DFT formation energy: 0.17 eV/atom

Unit cell a=11.026 b=11.026 c=9.362 alpha=90.00 beta=90.00 gamma=150.58
Fractional positions:
Y 0.012 0.988 0.500
Y 0.264 0.736 0.176
Y 0.306 0.694 0.796
Y 0.388 0.612 0.465
Y 0.469 0.531 0.764
Y 0.531 0.469 0.264
Y 0.612 0.388 0.965
Y 0.694 0.306 0.296
Y 0.736 0.264 0.676
Y 0.988 0.012 0.000
Ho 0.184 0.816 0.494
Ho 0.816 0.184 0.994
Er 0.401 0.599 0.092
Er 0.599 0.401 0.592
Sc 0.113 0.887 0.189
Sc 0.133 0.867 0.808
Sc 0.867 0.133 0.308
Sc 0.887 0.113 0.689



No. 6
This record from Alexandria via LeMat-Bulk describes a relaxed structure of Sr2PmSe3. The functional is PBE.

Values from the calculation:
E: -121.2 eV for the cell shown
Theoretical density: 5.3 Mg/m³
E above lowest polymorph: 0.0 kJ/mol of atoms
Space group: Fddd
Formation energy (no corrections): -188.8 kJ per mole of atoms

Unit cell a=14.388 b=13.719 c=7.535 alpha=79.42 beta=69.60 gamma=30.99
Fractional positions:
Sr 0.042 0.042 0.208
Sr 0.124 0.124 0.626
Sr 0.208 0.208 0.042
Sr 0.374 0.374 0.876
Sr 0.626 0.626 0.124
Sr 0.792 0.792 0.958
Sr 0.876 0.876 0.374
Sr 0.958 0.958 0.792
Pm 0.292 0.292 0.458
Pm 0.458 0.458 0.292
Pm 0.542 0.542 0.708
Pm 0.708 0.708 0.542
Se 0.039 0.540 0.220
Se 0.135 0.615 0.615
Se 0.220 0.700 0.039
Se 0.300 0.780 0.460
Se 0.385 0.865 0.865
Se 0.460 0.961 0.300
Se 0.540 0.039 0.700
Se 0.615 0.135 0.135
Se 0.700 0.220 0.540
Se 0.780 0.300 0.961
Se 0.865 0.385 0.385
Se 0.961 0.460 0.780



No. 7
This record from Alexandria via LeMat-Bulk describes a relaxed structure of NaTcIO6. The functional is PBE.

Values from the calculation:
E: -51.9 eV for the cell shown
Theoretical density: 4.2 Mg/m³
Space group: P1
Formation energy (no corrections): -95.8 kJ per mole of atoms

Unit cell a=5.063 b=5.402 c=5.640 alpha=118.04 beta=90.57 gamma=90.38
Fractional positions:
Na 0.000 0.000 0.000
Tc 0.477 0.332 0.664
I 0.570 0.653 0.317
O 0.308 0.293 0.364
O 0.322 0.633 0.912
O 0.344 0.041 0.692
O 0.748 0.575 0.573
O 0.752 0.405 0.011
O 0.758 0.981 0.390



No. 8
This record from Alexandria via LeMat-Bulk describes a relaxed structure of Y4HPb2. The functional is PBE.

Values from the calculation:
E: -40.2 eV for the cell shown
Theoretical density: 7.1 Mg/m³
E above lowest polymorph: 1.5 kJ/mol of atoms
Space group: I4/mmm

Unit cell a=9.082 b=9.082 c=9.082 alpha=150.65 beta=150.65 gamma=41.99
Fractional positions:
Y 0.000 0.500 0.500
Y 0.176 0.176 0.000
Y 0.500 0.000 0.500
Y 0.824 0.824 0.000
H 0.000 0.000 0.000
Pb 0.361 0.361 0.000
Pb 0.639 0.639 0.000